The following is a DFT calculation (GGA+U) of crystalline LiMnI2F at its relaxed geometry.

```
5
Lattice="5.856 0.000 0.000 0.000 5.856 0.000 0.000 0.000 4.085" Properties=species:S:1:pos:R:3 pbc="T T T"
F 0.000 0.000 2.043
Mn 0.000 0.000 0.000
I 0.000 2.928 0.000
I 2.928 0.000 0.000
Li 2.928 2.928 2.043
```

Values from the calculation:
**N(E_F)**: 0.00 states/eV per cell
**Final energy**: -4.144 eV per atom
**Total moment**: 5.00 μB/f.u.